# NbZnPd, relaxed, DFT PBE-GGA
# Formation energy from the elements (meV per atom): 40
data_NbZnPd
_chemical_formula_sum 'Nb1 Zn1 Pd1'
_symmetry_space_group_name_H-M 'P 1'
_symmetry_Int_Tables_number 1
_cell_length_a 4.274
_cell_length_b 4.274
_cell_length_c 4.274
_cell_angle_alpha 60.00
_cell_angle_beta 60.00
_cell_angle_gamma 60.00
loop_
_symmetry_equiv_pos_as_xyz
'x,y,z'
loop_
_atom_site_label
_atom_site_fract_x
_atom_site_fract_y
_atom_site_fract_z
Nb1 0.000 0.000 0.000
Zn1 0.500 0.500 0.500
Pd1 0.250 0.250 0.250

BeBiAu2 | PBE-GGA | relaxed

```
data_BeBiAu2
_chemical_formula_sum 'Be1 Bi1 Au2'
_symmetry_space_group_name_H-M 'P 1'
_symmetry_Int_Tables_number 1
_cell_length_a 4.792
_cell_length_b 4.792
_cell_length_c 4.792
_cell_angle_alpha 60.00
_cell_angle_beta 60.00
_cell_angle_gamma 60.00
loop_
_symmetry_equiv_pos_as_xyz
'x,y,z'
loop_
_atom_site_label
_atom_site_fract_x
_atom_site_fract_y
_atom_site_fract_z
Be1 0.000 0.000 0.000
Bi1 0.750 0.750 0.750
Au1 0.250 0.250 0.250
Au2 0.500 0.500 0.500
```

no.,VASP energy (eV per atom)
1,-5.471
2,-3.169